Entry 1:
Computed, not measured: a relaxed structure of CeSmScPa at the PBE level of DFT.

```
CeSmScPa
1.0
0.0000 3.7958 3.7958
3.7958 0.0000 3.7958
3.7958 3.7958 0.0000
Ce Sm Sc Pa
1 1 1 1
Cartesian
0.0000 0.0000 0.0000
5.6937 5.6937 5.6937
3.7958 3.7958 3.7958
1.8979 1.8979 1.8979
```

Properties
**Formation energy from the elements**: 0.332 eV per atom
**DOS(E_F)**: 3.124 states/eV per atom
**Total energy**: -6.2882 eV/atom
**Space-group type**: F-43m (216)
**Mass density**: 8.6 g cm⁻³
**Total moment**: 0.000 μB/atom

=====

Entry 2:
Computed, not measured: a relaxed structure of Tm12Pa3In5 at the PBE level of DFT.

```
Tm12Pa3In5
1.0
-8.9531 8.9531 8.9531
8.9531 -8.9531 8.9531
8.9531 8.9531 -8.9531
Tm Pa In
48 12 20
Cartesian
2.6699 -0.2785 1.3872
10.7597 5.8638 -4.7550
8.6746 -1.3872 2.6699
13.7081 -1.8066 3.0893
11.6230 0.2785 1.3872
10.7597 -3.0893 4.7550
1.3872 2.6699 -0.2785
12.0424 4.1980 -1.8066
5.8638 4.7550 -1.8066
7.5658 2.6699 0.2785
-0.2785 1.3872 2.6699
4.7550 -1.8066 5.8638
8.6746 7.5658 -2.6699
4.7550 1.8066 3.0893
7.5658 -2.6699 8.6746
5.8638 -4.7550 10.7597
3.0893 4.7550 1.8066
10.3403 6.2832 0.2785
2.6699 8.6746 -1.3872
10.7597 3.0893 4.1980
4.7550 10.7597 -3.0893
8.6746 1.3872 6.2832
1.8066 3.0893 4.7550
2.6699 0.2785 7.5658
6.2832 8.6746 1.3872
7.1464 5.8638 4.1980
0.2785 7.5658 2.6699
4.1980 -1.8066 12.0424
-1.8066 5.8638 4.7550
6.2832 0.2785 10.3403
-1.3872 2.6699 8.6746
5.8638 4.1980 7.1464
3.0893 13.7081 -1.8066
1.3872 11.6230 0.2785
4.1980 7.1464 5.8638
0.2785 1.3872 11.6230
4.1980 10.7597 3.0893
9.2316 7.5658 6.2832
1.3872 6.2832 8.6746
3.0893 4.1980 10.7597
-3.0893 4.7550 10.7597
7.5658 6.2832 9.2316
-1.8066 12.0424 4.1980
-2.6699 8.6746 7.5658
-4.7550 10.7597 5.8638
0.2785 10.3403 6.2832
-1.8066 3.0893 13.7081
6.2832 9.2316 7.5658
4.4765 2.2383 0.0000
8.9531 4.4765 -2.2383
2.2383 0.0000 4.4765
11.1913 0.0000 4.4765
0.0000 4.4765 2.2383
4.4765 -2.2383 8.9531
4.4765 11.1913 0.0000
8.9531 4.4765 6.7148
-2.2383 8.9531 4.4765
6.7148 8.9531 4.4765
0.0000 4.4765 11.1913
4.4765 6.7148 8.9531
0.0000 0.0000 0.0000
4.4765 4.4765 -4.4765
4.4765 -4.4765 4.4765
8.9531 0.0000 0.0000
13.4296 2.2383 0.0000
8.9531 -4.4765 6.7148
6.7148 8.9531 -4.4765
6.7148 0.0000 4.4765
4.4765 6.7148 0.0000
8.9531 4.4765 2.2383
-4.4765 4.4765 4.4765
0.0000 8.9531 0.0000
0.0000 0.0000 8.9531
4.4765 4.4765 4.4765
0.0000 4.4765 6.7148
4.4765 2.2383 8.9531
2.2383 8.9531 4.4765
2.2383 0.0000 13.4296
0.0000 13.4296 2.2383
-4.4765 6.7148 8.9531
```

Properties
**Formation energy from the elements**: 0.725 eV per atom
**DOS(E_F)**: 1.962 states/eV per atom
**Total energy**: -4.0671 eV/atom
**Space-group type**: Ia-3d (230)
**Mass density**: 7.6 g cm⁻³
**Total moment**: 0.333 μB/atom

=====

Entry 3:
Computed, not measured: a relaxed structure of Sr3Tl2Pd3 at the PBE level of DFT.

```
Sr3Tl2Pd3
1.0
2.3217 -6.1270 0.0000
2.3217 6.1270 0.0000
0.0000 0.0000 15.3377
Sr Tl Pd
6 4 6
Cartesian
2.3217 5.2542 9.3646
2.3217 5.2542 13.6419
2.3217 1.8105 11.5033
2.3217 -1.8105 3.8344
2.3217 -5.2542 1.6958
2.3217 -5.2542 5.9731
2.3217 3.4079 1.3470
2.3217 3.4079 6.3218
2.3217 -3.4079 9.0159
2.3217 -3.4079 13.9907
2.3217 1.9575 3.8344
2.3217 1.2448 8.2695
2.3217 1.2448 14.7371
2.3217 -1.2448 0.6006
2.3217 -1.2448 7.0682
2.3217 -1.9575 11.5033
```

Properties
**Formation energy from the elements**: -0.529 eV per atom
**DOS(E_F)**: 0.536 states/eV per atom
**Total energy**: -3.6983 eV/atom
**Space-group type**: Cmcm (63)
**Mass density**: 7.5 g cm⁻³
**Total moment**: 0.000 μB/atom

=====

Entry 4:
Computed, not measured: a relaxed structure of Tb12PmDy7 at the PBE level of DFT.

```
Tb12PmDy7
1.0
-5.6481 5.6481 5.6481
5.6481 -5.6481 5.6481
5.6481 5.6481 -5.6481
Tb Pm Dy
12 1 7
Cartesian
5.6481 2.7919 -2.7919
5.6481 -2.7919 2.7919
2.7919 5.6481 -2.7919
2.8562 2.8562 0.0000
2.8562 0.0000 2.8562
2.7919 -2.7919 5.6481
5.6481 2.7919 2.7919
0.0000 2.8562 2.8562
-2.7919 5.6481 2.7919
-2.7919 2.7919 5.6481
2.7919 5.6481 2.7919
2.7919 2.7919 5.6481
0.0000 0.0000 0.0000
2.8241 2.8241 -2.8241
2.8241 -2.8241 2.8241
5.6481 0.0000 0.0000
-2.8241 2.8241 2.8241
0.0000 5.6481 0.0000
0.0000 0.0000 5.6481
2.8241 2.8241 2.8241
```

Properties
**Formation energy from the elements**: 0.692 eV per atom
**DOS(E_F)**: 1.158 states/eV per atom
**Total energy**: -3.9341 eV/atom
**Space-group type**: Im-3m (229)
**Mass density**: 7.3 g cm⁻³
**Distance to the lowest polymorph of the same formula**: 0.399 eV per atom
**Total moment**: 0.000 μB/atom

=====

Entry 5:
Computed, not measured: a relaxed structure of Ce8SnRh2 at the PBE level of DFT.

```
Ce8SnRh2
1.0
4.1903 -6.7892 0.0000
4.1903 6.7892 0.0000
-1.3109 0.0000 5.0663
Ce Sn Rh
8 1 2
Cartesian
-0.3261 0.0000 4.1032
2.1055 1.4184 2.1917
4.1903 3.4233 0.0000
2.1055 -1.4184 2.1917
4.9642 1.4184 2.8746
4.1903 -3.4233 0.0000
4.9642 -1.4184 2.8746
7.3957 0.0000 0.9630
4.1903 0.0000 0.0000
3.5348 4.1040 2.5331
3.5348 -4.1040 2.5331
```

Properties
**Formation energy from the elements**: -0.341 eV per atom
**DOS(E_F)**: 2.824 states/eV per atom
**Total energy**: -6.3574 eV/atom
**Space-group type**: C2/m (12)
**Mass density**: 8.3 g cm⁻³
**Total moment**: 0.281 μB/atom

=====

Entry 6:
Computed, not measured: a relaxed structure of KLi2Hf at the PBE level of DFT.

```
KLi2Hf
1.0
0.0000 3.7833 3.7833
3.7833 0.0000 3.7833
3.7833 3.7833 0.0000
K Li Hf
1 2 1
Cartesian
0.0000 0.0000 0.0000
1.8917 1.8917 1.8917
5.6750 5.6750 5.6750
3.7833 3.7833 3.7833
```

Properties
**Formation energy from the elements**: 0.919 eV per atom
**DOS(E_F)**: 1.523 states/eV per atom
**Total energy**: -2.8009 eV/atom
**Space-group type**: Fm-3m (225)
**Mass density**: 3.5 g cm⁻³
**Distance to the lowest polymorph of the same formula**: 0.000 eV per atom
**Total moment**: 0.000 μB/atom

=====

Q: The highest total energy belongs to which entry?
A: KLi2Hf

=====

Q: Which of these has the lowest mass density?
A: KLi2Hf

=====

Q: Which of these has the highest DOS(E_F)?
A: CeSmScPa

=====

Q: Which value of formation energy from the elements does entry 5 give?
A: -0.341 eV per atom